(1)
DFT (GGA-PBE) results for CaFeCu2 after structural relaxation.

a = 3.1913 Å, b = 3.1913 Å, c = 6.4935 Å
α = 90.00°, β = 90.00°, γ = 90.00°
With the nearest neighbours (Å) after each atom.
Sites, in units of the cell vectors:
Ca  0.0000  0.0000  0.0000  6 Cu 3.01-3.28, 4 Fe 3.05, 4 Ca 3.19
Fe  0.5000  0.5000  0.6836  5 Cu 2.45-2.57
Cu  0.0000  0.0000  0.4953  4 Fe 2.57, 4 Cu 2.57
Cu  0.5000  0.5000  0.3061  1 Fe 2.45, 4 Cu 2.57

Output
space-group type: P4mm, No. 99
density of states at the Fermi level: 3.99 states/eV per cell
energy of formation from the pure elements: 0.29 eV/atom
magnetic moment: 2.53 μB/f.u.


(2)
DFT (GGA-PBE) results for ScInW2 after structural relaxation.

a = 6.0761 Å, b = 6.0761 Å, c = 6.0761 Å
α = 101.80°, β = 101.80°, γ = 126.24°
With the nearest neighbours (Å) after each atom.
Sites, in units of the cell vectors:
Sc  0.0000  0.0000  0.0000  2 In 2.75, 4 W 2.87
Sc  0.7500  0.2500  0.5000  2 In 2.75, 4 W 2.87
In  0.2500  0.7500  0.5000  4 W 2.72, 2 Sc 2.75
In  0.5000  0.5000  0.0000  4 W 2.72, 2 Sc 2.75
W  0.1394  0.6250  0.0144  2 In 2.72, 2 W 2.76, 2 Sc 2.87
W  0.3750  0.3894  0.5144  2 In 2.72, 2 W 2.76, 2 Sc 2.87
W  0.6106  0.1250  0.9856  2 In 2.72, 2 W 2.76, 2 Sc 2.87
W  0.8750  0.8606  0.4856  2 In 2.72, 2 W 2.76, 2 Sc 2.87

Output
space-group type: I-42d, No. 122
density of states at the Fermi level: 5.89 states/eV per cell
energy of formation from the pure elements: 1.10 eV/atom
magnetic moment: 0.00 μB/f.u.


(3)
DFT (GGA-PBE) results for TiOsRu2Br after structural relaxation.

a = 4.6665 Å, b = 4.6665 Å, c = 4.9570 Å
α = 90.00°, β = 90.00°, γ = 90.00°
With the nearest neighbours (Å) after each atom.
Sites, in units of the cell vectors:
Ti  0.0000  0.0000  0.0000  4 Br 3.30, 8 Ru 3.40
Os  0.5000  0.5000  0.5000  4 Ru 2.33, 2 Br 2.48
Ru  0.0000  0.5000  0.5000  2 Os 2.33
Ru  0.5000  0.0000  0.5000  2 Os 2.33
Br  0.5000  0.5000  0.0000  2 Os 2.48

Output
VASP energy: -31.5 eV per cell
space-group type: P4/mmm, No. 123
density of states at the Fermi level: 7.84 states/eV per cell
magnetic moment: 0.00 μB/f.u.


(4)
DFT (GGA-PBE) results for Pa3GaFe after structural relaxation.

a = 6.6866 Å, b = 4.8961 Å, c = 6.6895 Å
α = 90.00°, β = 91.42°, γ = 90.00°
With the nearest neighbours (Å) after each atom.
Sites, in units of the cell vectors:
Pa  0.0000  0.0000  0.0000  3 Fe 2.47-2.60
Pa  0.0005  0.0000  0.4465  1 Fe 2.65, 1 Pa 2.96
Pa  0.2925  0.5000  0.2911  1 Fe 2.38
Pa  0.4431  0.0000  0.4442  1 Fe 2.60, 2 Pa 2.83
Pa  0.4460  0.0000  0.9992  1 Fe 2.65
Pa  0.7245  0.5000  0.7242  2 Fe 2.45
Ga  0.2250  0.5000  0.7259  1 Fe 2.45
Ga  0.7271  0.5000  0.2247  1 Fe 2.45
Fe  0.0372  0.5000  0.0364  3 Pa 2.38-2.47, 2 Ga 2.45
Fe  0.7219  0.0000  0.7217  6 Pa 2.45-2.65

Output
space-group type: Pm, No. 6
density of states at the Fermi level: 12.64 states/eV per cell
energy of formation from the pure elements: -0.11 eV/atom
magnetic moment: 0.00 μB/f.u.


(5)
DFT (GGA-PBE) results for KTc2F after structural relaxation.

a = 4.8850 Å, b = 4.8850 Å, c = 4.8850 Å
α = 60.00°, β = 60.00°, γ = 60.00°
With the nearest neighbours (Å) after each atom.
Sites, in units of the cell vectors:
K  0.0000  0.0000  0.0000  8 Tc 2.99
Tc  0.2500  0.2500  0.2500  4 F 2.99, 4 K 2.99
Tc  0.7500  0.7500  0.7500  4 K 2.99, 4 F 2.99
F  0.5000  0.5000  0.5000  8 Tc 2.99

Output
space-group type: Fm-3m, No. 225
density of states at the Fermi level: 4.07 states/eV per cell
relative energy among the computed polymorphs: 694.4 kJ/mol of formula units
magnetic moment: 7.23 μB/f.u.


(6)
DFT (GGA-PBE) results for AlIn2Ag5 after structural relaxation.

a = 5.9555 Å, b = 11.5341 Å, c = 4.4135 Å
α = 90.00°, β = 90.00°, γ = 90.00°
With the nearest neighbours (Å) after each atom.
Sites, in units of the cell vectors:
Al  0.0000  0.0000  0.0000  8 Ag 2.80-2.98
Al  0.5000  0.5000  0.0000  8 Ag 2.80-2.98
In  0.2047  0.3643  0.5000  10 Ag 2.90-2.99, 2 Al 3.23
In  0.2953  0.8643  0.5000  10 Ag 2.90-2.99, 2 Al 3.23
In  0.7047  0.1357  0.5000  10 Ag 2.90-2.99, 2 Al 3.23
In  0.7953  0.6357  0.5000  10 Ag 2.90-2.99, 2 Al 3.23
Ag  0.0000  0.5000  0.0000  4 In 2.97, 2 Al 2.98, 6 Ag 2.98-3.10
Ag  0.0342  0.7580  0.0000  1 Al 2.80, 4 In 2.97-2.98, 5 Ag 2.98-3.03
Ag  0.2049  0.1112  0.5000  2 Al 2.83, 4 In 2.90-2.99, 4 Ag 3.03-3.10
Ag  0.2951  0.6112  0.5000  2 Al 2.83, 4 In 2.90-2.99, 4 Ag 3.03-3.10
Ag  0.4658  0.2580  0.0000  1 Al 2.80, 4 In 2.97-2.98, 5 Ag 2.98-3.03
Ag  0.5000  0.0000  0.0000  4 In 2.97, 2 Al 2.98, 6 Ag 2.98-3.10
Ag  0.5342  0.7420  0.0000  1 Al 2.80, 4 In 2.97-2.98, 5 Ag 2.98-3.03
Ag  0.7049  0.3888  0.5000  2 Al 2.83, 4 In 2.90-2.99, 4 Ag 3.03-3.10
Ag  0.7951  0.8888  0.5000  2 Al 2.83, 4 In 2.90-2.99, 4 Ag 3.03-3.10
Ag  0.9658  0.2420  0.0000  1 Al 2.80, 4 In 2.97-2.98, 5 Ag 2.98-3.03

Output
space-group type: Pbam, No. 55
density of states at the Fermi level: 3.84 states/eV per cell
energy of formation from the pure elements: 0.01 eV/atom
magnetic moment: 0.00 μB/f.u.


(7)
DFT (GGA-PBE) results for CsPa4Cu3S12 after structural relaxation.

a = 8.4875 Å, b = 8.4875 Å, c = 8.4875 Å
α = 109.47°, β = 109.47°, γ = 109.47°
With the nearest neighbours (Å) after each atom.
Sites, in units of the cell vectors:
Cs  0.0000  0.0000  0.0000  12 S 3.57
Pa  0.0000  0.0000  0.5000  6 S 2.67
Pa  0.0000  0.5000  0.0000  6 S 2.67
Pa  0.5000  0.0000  0.0000  6 S 2.67
Pa  0.5000  0.5000  0.5000  6 S 2.67
Cu  0.0000  0.5000  0.5000  4 S 2.41
Cu  0.5000  0.0000  0.5000  4 S 2.41
Cu  0.5000  0.5000  0.0000  4 S 2.41
S  0.1517  0.3218  0.8299  1 Cu 2.41, 2 Pa 2.67
S  0.1701  0.4920  0.3218  1 Cu 2.41, 2 Pa 2.67
S  0.1701  0.8483  0.6782  1 Cu 2.41, 2 Pa 2.67
S  0.3218  0.1701  0.4920  1 Cu 2.41, 2 Pa 2.67
S  0.3218  0.8299  0.1517  1 Cu 2.41, 2 Pa 2.67
S  0.4920  0.3218  0.1701  1 Cu 2.41, 2 Pa 2.67
S  0.5080  0.6782  0.8299  1 Cu 2.41, 2 Pa 2.67
S  0.6782  0.1701  0.8483  1 Cu 2.41, 2 Pa 2.67
S  0.6782  0.8299  0.5080  1 Cu 2.41, 2 Pa 2.67
S  0.8299  0.1517  0.3218  1 Cu 2.41, 2 Pa 2.67
S  0.8299  0.5080  0.6782  1 Cu 2.41, 2 Pa 2.67
S  0.8483  0.6782  0.1701  1 Cu 2.41, 2 Pa 2.67

Output
VASP energy: -123.3 eV per cell
space-group type: Im-3, No. 204
magnetic moment: 0.00 μB/f.u.


(8)
DFT (GGA-PBE) results for Ca2LaP after structural relaxation.

a = 6.2253 Å, b = 6.2253 Å, c = 6.2253 Å
α = 136.40°, β = 136.40°, γ = 63.36°
With the nearest neighbours (Å) after each atom.
Sites, in units of the cell vectors:
Ca  0.0000  0.0000  0.0000  4 P 3.27, 4 La 3.52, 4 Ca 3.52
Ca  0.7500  0.2500  0.5000  4 La 3.27, 4 Ca 3.52, 4 P 3.52
La  0.2500  0.7500  0.5000  8 Ca 3.27-3.52, 4 P 3.52
P  0.5000  0.5000  0.0000  8 Ca 3.27-3.52, 4 La 3.52

Output
space-group type: I-4m2, No. 119
density of states at the Fermi level: 2.18 states/eV per cell
energy of formation from the pure elements: -0.25 eV/atom
magnetic moment: 0.00 μB/f.u.


(9)
DFT (GGA-PBE) results for AlInBr2 after structural relaxation.

a = 3.8909 Å, b = 3.8909 Å, c = 7.8298 Å
α = 90.00°, β = 90.00°, γ = 90.16°
With the nearest neighbours (Å) after each atom.
Sites, in units of the cell vectors:
Al  0.0000  0.0000  0.0000  8 Br 3.32-3.33
In  0.0000  0.0000  0.5000  8 Br 3.43
Br  0.5000  0.5000  0.2388  4 Al 3.32-3.33, 4 In 3.43
Br  0.5000  0.5000  0.7612  4 Al 3.32-3.33, 4 In 3.43

Output
space-group type: Cmmm, No. 65
relative energy among the computed polymorphs: 58.1 kJ/mol of formula units
magnetic moment: 0.00 μB/f.u.


(10)
DFT (GGA-PBE) results for SrMg4Zn2Au after structural relaxation.

a = 10.0583 Å, b = 10.0583 Å, c = 10.0583 Å
α = 27.12°, β = 27.12°, γ = 27.12°
With the nearest neighbours (Å) after each atom.
Sites, in units of the cell vectors:
Sr  0.0000  0.0000  0.0000  6 Mg 3.50, 6 Zn 3.54
Mg  0.1359  0.1359  0.1359  3 Au 2.87, 3 Zn 3.20
Mg  0.4091  0.4091  0.4091  1 Au 2.64, 3 Zn 2.72
Mg  0.5909  0.5909  0.5909  1 Au 2.64, 3 Zn 2.72
Mg  0.8641  0.8641  0.8641  3 Au 2.87, 3 Zn 3.20
Zn  0.2552  0.2552  0.2552  3 Mg 2.72
Zn  0.7448  0.7448  0.7448  3 Mg 2.72
Au  0.5000  0.5000  0.5000  8 Mg 2.64-2.87

Output
space-group type: R-3m, No. 166
density of states at the Fermi level: 4.38 states/eV per cell
energy of formation from the pure elements: -0.22 eV/atom
magnetic moment: 0.00 μB/f.u.


Number 1: V 16.53 Å³/atom. Number 2: V 20.17 Å³/atom. Number 3: V 21.59 Å³/atom. Number 4: V 21.89 Å³/atom. Number 5: V 20.61 Å³/atom. Number 6: V 18.95 Å³/atom. Number 7: V 23.53 Å³/atom. Number 8: V 28.31 Å³/atom. Number 9: V 29.63 Å³/atom. Number 10: V 23.32 Å³/atom.